First-principles (PBE) data for a relaxed Pa2OsS crystal, as listed in Alexandria via LeMat-Bulk.

Calculated values
Final energy in eV per cell: -113.884
DOS at the Fermi energy in states/eV/cell: 13.94
Mass density in g/cm3: 12.66
SG: No. 166
Magnetization in μB per formula unit: 0.00
Formation energy without anion corrections in eV/atom: -0.903

Cell lengths 3.879, 3.879, 20.662 Å; angles 90.00, 90.00, 120.00 degrees
Atoms (fractional coordinates):
1 Pa 0.000 0.000 0.246
2 Pa 0.000 0.000 0.754
3 Pa 0.333 0.667 0.421
4 Pa 0.333 0.667 0.913
5 Pa 0.667 0.333 0.087
6 Pa 0.667 0.333 0.579
7 Os 0.000 0.000 0.500
8 Os 0.333 0.667 0.167
9 Os 0.667 0.333 0.833
10 S 0.000 0.000 0.000
11 S 0.333 0.667 0.667
12 S 0.667 0.333 0.333